[1]
# GGA-PBE CoRe2Tc, optimized geometry
# offset from the most stable computed form = 0.0490 eV per atom
# space-group type = P4/mmm (123)
# formation energy = 0.08 eV/atom
data_CoRe2Tc
_cell_length_a 2.690
_cell_length_b 2.690
_cell_length_c 7.606
_cell_angle_alpha 90.00
_cell_angle_beta 90.00
_cell_angle_gamma 90.00
_space_group_name_H-M_alt 'P 1'
_space_group_IT_number 1
loop_
_space_group_symop_operation_xyz
'x,y,z'
loop_
_atom_site_label
_atom_site_fract_x
_atom_site_fract_y
_atom_site_fract_z
Co1 0.000 0.000 0.000
Re1 0.500 0.500 0.236
Re2 0.500 0.500 0.764
Tc1 0.000 0.000 0.500



[2]
# GGA-PBE Cs3Be2I8, optimized geometry
# E_form (uncorrected) = -12.32 eV/f.u.
# space-group type = R-3m (166)
data_Cs3Be2I8
_cell_length_a 11.741
_cell_length_b 11.741
_cell_length_c 11.741
_cell_angle_alpha 40.07
_cell_angle_beta 40.07
_cell_angle_gamma 40.07
_space_group_name_H-M_alt 'P 1'
_space_group_IT_number 1
loop_
_space_group_symop_operation_xyz
'x,y,z'
loop_
_atom_site_label
_atom_site_fract_x
_atom_site_fract_y
_atom_site_fract_z
Cs1 0.000 0.000 0.000
Cs2 0.211 0.211 0.211
Cs3 0.789 0.789 0.789
Be1 0.410 0.410 0.410
Be2 0.590 0.590 0.590
I1 0.238 0.728 0.728
I2 0.272 0.272 0.762
I3 0.272 0.762 0.272
I4 0.335 0.335 0.335
I5 0.665 0.665 0.665
I6 0.728 0.238 0.728
I7 0.728 0.728 0.238
I8 0.762 0.272 0.272



[3]
# GGA-PBE Hf2FeGe2, optimized geometry
# space-group type = P4/mbm (127)
# formation energy = -0.53 eV/atom
data_Hf2FeGe2
_cell_length_a 6.296
_cell_length_b 6.296
_cell_length_c 4.182
_cell_angle_alpha 90.00
_cell_angle_beta 90.00
_cell_angle_gamma 90.00
_space_group_name_H-M_alt 'P 1'
_space_group_IT_number 1
loop_
_space_group_symop_operation_xyz
'x,y,z'
loop_
_atom_site_label
_atom_site_fract_x
_atom_site_fract_y
_atom_site_fract_z
Hf1 0.173 0.327 0.000
Hf2 0.327 0.827 0.000
Hf3 0.673 0.173 0.000
Hf4 0.827 0.673 0.000
Fe1 0.000 0.000 0.500
Fe2 0.500 0.500 0.500
Ge1 0.142 0.642 0.500
Ge2 0.358 0.142 0.500
Ge3 0.642 0.858 0.500
Ge4 0.858 0.358 0.500



[4]
# GGA-PBE InSiSe2, optimized geometry
# E_form (uncorrected) = 0.60 eV/f.u.
# space-group type = P4mm (99)
data_InSiSe2
_cell_length_a 3.289
_cell_length_b 3.289
_cell_length_c 9.061
_cell_angle_alpha 90.00
_cell_angle_beta 90.00
_cell_angle_gamma 90.00
_space_group_name_H-M_alt 'P 1'
_space_group_IT_number 1
loop_
_space_group_symop_operation_xyz
'x,y,z'
loop_
_atom_site_label
_atom_site_fract_x
_atom_site_fract_y
_atom_site_fract_z
In1 0.000 0.000 0.000
Si1 0.500 0.500 0.719
Se1 0.000 0.000 0.597
Se2 0.500 0.500 0.212



[5]
# GGA-PBE ReNiBP2, optimized geometry
# offset from the most stable computed form = 0.0816 eV per atom
# space-group type = P1 (1)
# formation energy = -0.05 eV/atom
data_ReNiBP2
_cell_length_a 3.263
_cell_length_b 3.936
_cell_length_c 5.626
_cell_angle_alpha 106.78
_cell_angle_beta 91.96
_cell_angle_gamma 107.88
_space_group_name_H-M_alt 'P 1'
_space_group_IT_number 1
loop_
_space_group_symop_operation_xyz
'x,y,z'
loop_
_atom_site_label
_atom_site_fract_x
_atom_site_fract_y
_atom_site_fract_z
Re1 0.000 0.000 0.000
Ni1 0.147 0.021 0.508
B1 0.234 0.474 0.362
P1 0.344 0.641 0.725
P2 0.741 0.528 0.178



[6]
# GGA-PBE K2TbOs3O12, optimized geometry
# E_form (uncorrected) = -26.59 eV/f.u.
# space-group type = R-3m (166)
data_K2TbOs3O12
_cell_length_a 7.491
_cell_length_b 7.491
_cell_length_c 7.491
_cell_angle_alpha 58.64
_cell_angle_beta 58.64
_cell_angle_gamma 58.64
_space_group_name_H-M_alt 'P 1'
_space_group_IT_number 1
loop_
_space_group_symop_operation_xyz
'x,y,z'
loop_
_atom_site_label
_atom_site_fract_x
_atom_site_fract_y
_atom_site_fract_z
K1 0.135 0.135 0.135
K2 0.865 0.865 0.865
Tb1 0.500 0.500 0.500
Os1 0.000 0.500 0.500
Os2 0.500 0.000 0.500
Os3 0.500 0.500 0.000
O1 0.133 0.585 0.585
O2 0.200 0.200 0.577
O3 0.200 0.577 0.200
O4 0.415 0.415 0.867
O5 0.415 0.867 0.415
O6 0.423 0.800 0.800
O7 0.577 0.200 0.200
O8 0.585 0.133 0.585
O9 0.585 0.585 0.133
O10 0.800 0.423 0.800
O11 0.800 0.800 0.423
O12 0.867 0.415 0.415



[7]
# GGA-PBE SmTl2Pt9, optimized geometry
# space-group type = R-3m (166)
# formation energy = -0.39 eV/atom
data_SmTl2Pt9
_cell_length_a 9.331
_cell_length_b 9.331
_cell_length_c 9.331
_cell_angle_alpha 34.01
_cell_angle_beta 34.01
_cell_angle_gamma 34.01
_space_group_name_H-M_alt 'P 1'
_space_group_IT_number 1
loop_
_space_group_symop_operation_xyz
'x,y,z'
loop_
_atom_site_label
_atom_site_fract_x
_atom_site_fract_y
_atom_site_fract_z
Sm1 0.000 0.000 0.000
Tl1 0.141 0.141 0.141
Tl2 0.859 0.859 0.859
Pt1 0.080 0.585 0.585
Pt2 0.333 0.333 0.333
Pt3 0.415 0.415 0.920
Pt4 0.415 0.920 0.415
Pt5 0.500 0.500 0.500
Pt6 0.585 0.080 0.585
Pt7 0.585 0.585 0.080
Pt8 0.667 0.667 0.667
Pt9 0.920 0.415 0.415



[8]
# GGA-PBE Tl3Hg4Au3, optimized geometry
# space-group type = I-43d (220)
# formation energy = 0.00 eV/atom
data_Tl3Hg4Au3
_cell_length_a 8.916
_cell_length_b 8.916
_cell_length_c 8.916
_cell_angle_alpha 109.47
_cell_angle_beta 109.47
_cell_angle_gamma 109.47
_space_group_name_H-M_alt 'P 1'
_space_group_IT_number 1
loop_
_space_group_symop_operation_xyz
'x,y,z'
loop_
_atom_site_label
_atom_site_fract_x
_atom_site_fract_y
_atom_site_fract_z
Tl1 0.125 0.750 0.875
Tl2 0.250 0.625 0.375
Tl3 0.375 0.250 0.625
Tl4 0.625 0.375 0.250
Tl5 0.750 0.875 0.125
Tl6 0.875 0.125 0.750
Hg1 0.000 0.326 0.500
Hg2 0.000 0.826 0.500
Hg3 0.174 0.174 0.174
Hg4 0.326 0.500 0.000
Hg5 0.500 0.000 0.326
Hg6 0.500 0.000 0.826
Hg7 0.674 0.674 0.674
Hg8 0.826 0.500 0.000
Au1 0.125 0.875 0.250
Au2 0.250 0.125 0.875
Au3 0.375 0.625 0.750
Au4 0.625 0.750 0.375
Au5 0.750 0.375 0.625
Au6 0.875 0.250 0.125



[9]
# GGA-PBE Rb2Ca2Pt, optimized geometry
# space-group type = P4/mbm (127)
# formation energy = -0.11 eV/atom
data_Rb2Ca2Pt
_cell_length_a 7.773
_cell_length_b 7.773
_cell_length_c 7.304
_cell_angle_alpha 90.00
_cell_angle_beta 90.00
_cell_angle_gamma 90.00
_space_group_name_H-M_alt 'P 1'
_space_group_IT_number 1
loop_
_space_group_symop_operation_xyz
'x,y,z'
loop_
_atom_site_label
_atom_site_fract_x
_atom_site_fract_y
_atom_site_fract_z
Rb1 0.190 0.310 0.000
Rb2 0.310 0.810 0.000
Rb3 0.690 0.190 0.000
Rb4 0.810 0.690 0.000
Ca1 0.183 0.683 0.500
Ca2 0.317 0.183 0.500
Ca3 0.683 0.817 0.500
Ca4 0.817 0.317 0.500
Pt1 0.000 0.000 0.500
Pt2 0.500 0.500 0.500



[10]
# GGA-PBE HfHgTe, optimized geometry
# offset from the most stable computed form = 0.3569 eV per atom
# E_form (uncorrected) = -0.28 eV/f.u.
# space-group type = C2/m (12)
data_HfHgTe
_cell_length_a 4.884
_cell_length_b 4.884
_cell_length_c 8.466
_cell_angle_alpha 106.81
_cell_angle_beta 106.81
_cell_angle_gamma 60.36
_space_group_name_H-M_alt 'P 1'
_space_group_IT_number 1
loop_
_space_group_symop_operation_xyz
'x,y,z'
loop_
_atom_site_label
_atom_site_fract_x
_atom_site_fract_y
_atom_site_fract_z
Hf1 0.242 0.242 0.225
Hf2 0.758 0.758 0.775
Hg1 0.363 0.363 0.591
Hg2 0.637 0.637 0.409
Te1 0.119 0.119 0.853
Te2 0.881 0.881 0.147



[11]
# GGA-PBE Re3TeW, optimized geometry
# offset from the most stable computed form = 0.6445 eV per atom
# E_form (uncorrected) = 14.44 eV/f.u.
# space-group type = Pm-3m (221)
data_Re3TeW
_cell_length_a 4.716
_cell_length_b 4.716
_cell_length_c 4.716
_cell_angle_alpha 90.00
_cell_angle_beta 90.00
_cell_angle_gamma 90.00
_space_group_name_H-M_alt 'P 1'
_space_group_IT_number 1
loop_
_space_group_symop_operation_xyz
'x,y,z'
loop_
_atom_site_label
_atom_site_fract_x
_atom_site_fract_y
_atom_site_fract_z
Re1 0.000 0.000 0.500
Re2 0.000 0.500 0.000
Re3 0.500 0.000 0.000
Te1 0.000 0.000 0.000
W1 0.500 0.500 0.500



[12]
# GGA-PBE Pu2UN2, optimized geometry
# E_form (uncorrected) = -4.53 eV/f.u.
# space-group type = C2/m (12)
data_Pu2UN2
_cell_length_a 3.434
_cell_length_b 3.434
_cell_length_c 9.133
_cell_angle_alpha 103.76
_cell_angle_beta 103.76
_cell_angle_gamma 60.13
_space_group_name_H-M_alt 'P 1'
_space_group_IT_number 1
loop_
_space_group_symop_operation_xyz
'x,y,z'
loop_
_atom_site_label
_atom_site_fract_x
_atom_site_fract_y
_atom_site_fract_z
Pu1 0.204 0.204 0.183
Pu2 0.796 0.796 0.817
U1 0.000 0.000 0.500
N1 0.400 0.400 0.658
N2 0.600 0.600 0.342



[13]
# GGA-PBE Tb2Nd4SmMg, optimized geometry
# space-group type = P4/mmm (123)
# formation energy = 0.06 eV/atom
data_Tb2Nd4SmMg
_cell_length_a 5.792
_cell_length_b 5.792
_cell_length_c 7.838
_cell_angle_alpha 90.00
_cell_angle_beta 90.00
_cell_angle_gamma 90.00
_space_group_name_H-M_alt 'P 1'
_space_group_IT_number 1
loop_
_space_group_symop_operation_xyz
'x,y,z'
loop_
_atom_site_label
_atom_site_fract_x
_atom_site_fract_y
_atom_site_fract_z
Tb1 0.000 0.000 0.000
Tb2 0.500 0.500 0.500
Nd1 0.000 0.500 0.235
Nd2 0.000 0.500 0.765
Nd3 0.500 0.000 0.235
Nd4 0.500 0.000 0.765
Sm1 0.000 0.000 0.500
Mg1 0.500 0.500 0.000



[14]
# GGA-PBE TlCu2Pt, optimized geometry
# offset from the most stable computed form = 0.0473 eV per atom
# space-group type = P4/mmm (123)
# formation energy = 0.10 eV/atom
data_TlCu2Pt
_cell_length_a 3.168
_cell_length_b 3.168
_cell_length_c 6.542
_cell_angle_alpha 90.00
_cell_angle_beta 90.00
_cell_angle_gamma 90.00
_space_group_name_H-M_alt 'P 1'
_space_group_IT_number 1
loop_
_space_group_symop_operation_xyz
'x,y,z'
loop_
_atom_site_label
_atom_site_fract_x
_atom_site_fract_y
_atom_site_fract_z
Tl1 0.000 0.000 0.000
Cu1 0.500 0.500 0.289
Cu2 0.500 0.500 0.711
Pt1 0.000 0.000 0.500



[15]
# GGA-PBE K2AgPbO4, optimized geometry
# E_form (uncorrected) = -7.04 eV/f.u.
# space-group type = I-4 (82)
data_K2AgPbO4
_cell_length_a 5.797
_cell_length_b 5.797
_cell_length_c 5.797
_cell_angle_alpha 112.58
_cell_angle_beta 112.58
_cell_angle_gamma 103.41
_space_group_name_H-M_alt 'P 1'
_space_group_IT_number 1
loop_
_space_group_symop_operation_xyz
'x,y,z'
loop_
_atom_site_label
_atom_site_fract_x
_atom_site_fract_y
_atom_site_fract_z
K1 0.000 0.000 0.000
K2 0.750 0.250 0.500
Ag1 0.250 0.750 0.500
Pb1 0.500 0.500 0.000
O1 0.166 0.112 0.625
O2 0.459 0.834 0.946
O3 0.487 0.541 0.375
O4 0.888 0.513 0.054



[16]
# GGA-PBE LiDyHoGa, optimized geometry
# space-group type = F-43m (216)
# formation energy = -0.31 eV/atom
data_LiDyHoGa
_cell_length_a 5.082
_cell_length_b 5.082
_cell_length_c 5.082
_cell_angle_alpha 60.00
_cell_angle_beta 60.00
_cell_angle_gamma 60.00
_space_group_name_H-M_alt 'P 1'
_space_group_IT_number 1
loop_
_space_group_symop_operation_xyz
'x,y,z'
loop_
_atom_site_label
_atom_site_fract_x
_atom_site_fract_y
_atom_site_fract_z
Li1 0.000 0.000 0.000
Dy1 0.750 0.750 0.750
Ho1 0.250 0.250 0.250
Ga1 0.500 0.500 0.500



[17]
# GGA-PBE LiPr2Y3Te6, optimized geometry
# E_form (uncorrected) = -16.41 eV/f.u.
# space-group type = C2/m (12)
data_LiPr2Y3Te6
_cell_length_a 9.897
_cell_length_b 9.897
_cell_length_c 8.861
_cell_angle_alpha 103.22
_cell_angle_beta 103.22
_cell_angle_gamma 25.67
_space_group_name_H-M_alt 'P 1'
_space_group_IT_number 1
loop_
_space_group_symop_operation_xyz
'x,y,z'
loop_
_atom_site_label
_atom_site_fract_x
_atom_site_fract_y
_atom_site_fract_z
Li1 0.000 0.000 0.000
Pr1 0.330 0.330 0.658
Pr2 0.670 0.670 0.342
Y1 0.000 0.000 0.500
Y2 0.330 0.330 0.168
Y3 0.670 0.670 0.832
Te1 0.162 0.162 0.073
Te2 0.162 0.162 0.592
Te3 0.497 0.497 0.244
Te4 0.503 0.503 0.756
Te5 0.838 0.838 0.408
Te6 0.838 0.838 0.927